Entry a
A plane-wave DFT calculation with PBE was carried out for crystalline K4RbTl4 at its relaxed geometry.

POSCAR file:
```
K4RbTl4
1.0
7.274 0.000 0.000
0.000 11.300 0.000
0.000 0.000 11.300
Tl K Rb
8 8 2
Direct
0.354 0.640 0.774
0.646 0.774 0.360
0.646 0.226 0.640
0.146 0.140 0.274
0.854 0.726 0.140
0.354 0.360 0.226
0.146 0.860 0.726
0.854 0.274 0.860
0.859 0.591 0.821
0.359 0.679 0.091
0.859 0.409 0.179
0.641 0.909 0.679
0.641 0.091 0.321
0.359 0.321 0.909
0.141 0.821 0.409
0.141 0.179 0.591
0.000 0.000 0.000
0.500 0.500 0.500
```


Entry b
A plane-wave DFT calculation with PBE was carried out for crystalline K4RbTl4 at its relaxed geometry.

POSCAR file:
```
K4RbTl4
1.0
-5.895 -1.513 -4.611
-4.352 -1.562 6.077
-3.805 12.968 0.609
Rb K Tl
2 8 8
Direct
0.000 0.000 0.000
0.500 0.500 0.500
0.738 0.000 0.282
0.000 0.738 0.718
0.500 0.762 0.782
0.238 0.500 0.218
0.500 0.238 0.782
0.000 0.262 0.718
0.262 0.000 0.282
0.762 0.500 0.218
0.786 0.500 0.952
0.500 0.786 0.048
0.286 0.000 0.548
0.000 0.286 0.452
0.000 0.714 0.452
0.714 0.000 0.548
0.214 0.500 0.952
0.500 0.214 0.048
```


Relative energies, unit meV per atom: entry a 70; entry b 0


Entry a
A plane-wave DFT calculation with PBE was carried out for crystalline K2Rb4Tl at its relaxed geometry.

POSCAR file:
```
K2Rb4Tl
1.0
-5.061 -4.276 2.772
0.050 -3.949 -5.999
10.398 -2.406 5.970
Rb Tl K
4 1 2
Direct
0.000 0.500 0.000
0.830 0.830 0.659
0.170 0.170 0.341
0.500 0.000 0.000
0.000 0.000 0.000
0.628 0.628 0.256
0.372 0.372 0.744
```


Entry b
A plane-wave DFT calculation with PBE was carried out for crystalline K2Rb4Tl at its relaxed geometry.

POSCAR file:
```
K2Rb4Tl
1.0
6.710 0.000 -2.322
-1.042 8.880 -3.012
-0.646 -0.597 8.989
Rb Tl K
4 1 2
Direct
0.165 0.805 0.331
0.515 0.236 0.029
0.835 0.195 0.669
0.485 0.764 0.971
0.000 0.000 0.000
0.798 0.666 0.595
0.202 0.334 0.405
```


Relative energies, unit meV per atom: entry a 61; entry b 0


Entry a
A plane-wave DFT calculation with PBE was carried out for crystalline KRb3Tl at its relaxed geometry.

POSCAR file:
```
KRb3Tl
1.0
-2.201 0.325 4.540
-8.762 -2.393 -6.844
2.566 -12.063 2.134
Rb Tl K
6 2 2
Direct
0.959 0.951 0.955
0.275 0.587 0.991
0.414 0.864 0.642
0.630 0.290 0.780
0.769 0.567 0.431
0.086 0.203 0.467
0.804 0.643 0.758
0.240 0.511 0.663
0.614 0.267 0.149
0.430 0.887 0.273
```


Entry b
A plane-wave DFT calculation with PBE was carried out for crystalline KRb3Tl at its relaxed geometry.

POSCAR file:
```
KRb3Tl
1.0
-3.993 2.309 -2.002
-3.248 -8.566 -3.402
-5.875 2.159 14.206
Rb Tl K
6 2 2
Direct
0.250 0.635 0.333
0.250 0.175 0.389
0.750 0.818 0.136
0.750 0.302 0.667
0.750 0.786 0.611
0.250 0.682 0.864
0.750 0.439 0.936
0.250 0.503 0.064
0.250 0.144 0.870
0.750 0.274 0.130
```


Relative energies, unit meV per atom: entry a 0; entry b 6


Entry a
A plane-wave DFT calculation with PBE was carried out for crystalline KRb3Tl at its relaxed geometry.

POSCAR file:
```
KRb3Tl
1.0
-0.643 -4.167 5.934
7.101 0.844 1.362
-1.468 5.909 3.990
Rb Tl K
3 1 1
Direct
0.000 0.000 0.500
0.500 0.000 0.000
0.000 0.500 0.000
0.000 0.000 0.000
0.500 0.500 0.500
```


Entry b
A plane-wave DFT calculation with PBE was carried out for crystalline KRb3Tl at its relaxed geometry.

POSCAR file:
```
KRb3Tl
1.0
-0.919 -7.323 -2.030
2.762 1.583 -6.961
7.080 -1.568 2.453
Rb K Tl
3 1 1
Direct
0.000 0.000 0.500
0.500 0.000 0.000
0.000 0.500 0.000
0.000 0.000 0.000
0.500 0.500 0.500
```


Relative energies, unit meV per atom: entry a 0; entry b 307


Entry a
A plane-wave DFT calculation with PBE was carried out for crystalline KRbTl2 at its relaxed geometry.

POSCAR file:
```
KRbTl2
1.0
4.575 0.000 0.000
0.000 4.575 0.000
0.000 0.000 8.090
Tl K Rb
2 1 1
Direct
0.000 0.000 0.787
0.000 0.000 0.213
0.500 0.500 0.000
0.500 0.500 0.500
```


Entry b
A plane-wave DFT calculation with PBE was carried out for crystalline KRbTl2 at its relaxed geometry.

POSCAR file:
```
KRbTl2
1.0
3.977 0.000 0.000
1.988 3.444 0.000
1.988 1.148 12.221
K Tl Rb
1 2 1
Direct
0.000 0.000 0.000
0.748 0.748 0.756
0.252 0.252 0.244
0.500 0.500 0.500
```


Entry c
A plane-wave DFT calculation with PBE was carried out for crystalline KRbTl2 at its relaxed geometry.

POSCAR file:
```
KRbTl2
1.0
-0.055 -4.146 -2.412
4.062 -2.177 3.648
-4.248 -2.000 3.536
Rb Tl K
1 2 1
Direct
0.500 0.000 0.000
0.000 0.500 0.000
0.000 0.000 0.500
0.500 0.500 0.500
```


Entry d
A plane-wave DFT calculation with PBE was carried out for crystalline KRbTl2 at its relaxed geometry.

POSCAR file:
```
KRbTl2
1.0
10.057 0.000 0.000
0.000 10.057 0.000
5.028 5.028 3.501
Tl Rb K
4 2 2
Direct
0.875 0.867 0.750
0.375 0.383 0.750
0.617 0.125 0.250
0.133 0.625 0.250
0.750 0.250 0.500
0.000 0.000 0.000
0.500 0.500 0.000
0.250 0.750 0.500
```


Relative energies, unit meV per atom: entry a 0; entry b 50; entry c 14; entry d 73


Entry a
A plane-wave DFT calculation with PBE was carried out for crystalline KRbTl2 at its relaxed geometry.

POSCAR file:
```
KRbTl2
1.0
-3.606 -1.171 4.872
-5.190 -3.265 -0.715
-0.375 -5.734 2.256
Tl K Rb
2 1 1
Direct
0.750 0.750 0.750
0.250 0.250 0.250
0.000 0.000 0.000
0.500 0.500 0.500
```


Entry b
A plane-wave DFT calculation with PBE was carried out for crystalline KRbTl2 at its relaxed geometry.

POSCAR file:
```
KRbTl2
1.0
5.350 0.000 0.000
0.000 7.145 0.000
0.000 0.000 9.886
Tl K Rb
4 2 2
Direct
0.500 0.850 0.468
0.500 0.150 0.968
0.000 0.667 0.529
0.000 0.333 0.029
0.000 0.152 0.675
0.000 0.848 0.175
0.500 0.651 0.828
0.500 0.349 0.328
```


Relative energies, unit meV per atom: entry a 100; entry b 0